# 1
The following is a DFT calculation (PBE-GGA) of crystalline Mg2NiSb at its relaxed geometry.

Results
The total energy is -13.059 eV for the cell shown.

The structure in POSCAR format:
```
Mg2NiSb
1.0
-4.438 1.413 0.798
-2.307 -1.511 3.837
-0.926 2.998 3.533
Mg Ni Sb
2 1 1
Direct
0.250 0.250 0.250
0.000 0.000 0.000
0.500 0.500 0.500
0.750 0.750 0.750
```

***

# 2
The following is a DFT calculation (PBE-GGA) of crystalline Na2AlAu3 at its relaxed geometry.

Results
For the formation energy, the calculation gives -0.389 eV per atom.

The structure in POSCAR format:
```
Na2AlAu3
1.0
4.836 -0.052 2.180
1.388 4.633 2.180
-0.071 -0.052 5.304
Na Au Al
2 3 1
Direct
0.622 0.622 0.622
0.378 0.378 0.378
0.000 0.000 0.500
0.000 0.500 0.000
0.500 0.000 0.000
0.000 0.000 0.000
```

***

# 3
The following is a DFT calculation (PBE-GGA) of crystalline AcPmPb2 at its relaxed geometry.

Results
For the formation energy, the calculation gives -0.419 eV per atom.

The structure in POSCAR format:
```
AcPmPb2
1.0
5.739 0.000 0.000
2.869 4.970 0.000
2.869 1.657 4.686
Pb Ac Pm
2 1 1
Direct
0.250 0.250 0.250
0.750 0.750 0.750
0.500 0.500 0.500
0.000 0.000 0.000
```

***

# 4
The following is a DFT calculation (PBE-GGA) of crystalline CuNiAgRh at its relaxed geometry.

Results
For the formation energy, the calculation gives 0.212 eV per atom.

The structure in POSCAR format:
```
CuNiAgRh
1.0
4.278 0.000 0.000
2.139 3.704 0.000
2.139 1.235 3.493
Cu Rh Ag Ni
1 1 1 1
Direct
0.250 0.250 0.250
0.500 0.500 0.500
0.000 0.000 0.000
0.750 0.750 0.750
```

***

# 5
The following is a DFT calculation (PBE-GGA) of crystalline NbHRh3 at its relaxed geometry.

Results
The total energy is -33.467 eV for the cell shown.

The structure in POSCAR format:
```
NbHRh3
1.0
-0.912 -3.699 0.052
3.524 -0.885 -1.149
1.766 -0.356 5.692
Rh Nb H
3 1 1
Direct
0.500 0.000 0.433
0.000 0.500 0.433
0.000 0.000 0.766
0.000 0.000 0.148
0.500 0.500 0.484
```

***

# 6
The following is a DFT calculation (PBE-GGA) of crystalline IrPdPb3 at its relaxed geometry.

Results
For the formation energy, the calculation gives 0.483 eV per atom.

The structure in POSCAR format:
```
IrPdPb3
1.0
-2.700 1.158 -4.365
-3.792 -3.343 1.458
-2.452 3.894 2.550
Pb Pd Ir
3 1 1
Direct
0.000 0.000 0.500
0.500 0.000 0.000
0.000 0.500 0.000
0.500 0.500 0.500
0.000 0.000 0.000
```

***

# 7
The following is a DFT calculation (PBE-GGA) of crystalline CaPr3Sm6Er2 at its relaxed geometry.

Results
For the formation energy, the calculation gives 0.047 eV per atom.

The structure in POSCAR format:
```
CaPr3Sm6Er2
1.0
6.338 -0.002 0.017
-3.169 5.489 0.017
-1.083 -1.876 11.826
Pr Sm Ca Er
3 6 1 2
Direct
0.166 0.834 0.500
0.834 0.166 0.500
0.500 0.500 0.500
0.576 0.917 0.753
0.917 0.576 0.753
0.083 0.424 0.247
0.424 0.083 0.247
0.742 0.742 0.248
0.258 0.258 0.752
0.000 0.000 0.000
0.667 0.333 0.000
0.333 0.667 0.000
```

***

# 8
The following is a DFT calculation (PBE-GGA) of crystalline Bi4B6O15 at its relaxed geometry.

Results
The total energy is -359.108 eV for the cell shown.

The structure in POSCAR format:
```
Bi4B6O15
1.0
-2.963 3.168 -1.379
-3.012 -5.478 1.399
-0.235 7.643 18.060
O B Bi
30 12 8
Direct
0.298 0.351 0.707
0.689 0.175 0.935
0.774 0.743 0.029
0.153 0.000 0.750
0.226 0.257 0.971
0.904 0.366 0.362
0.969 0.743 0.529
0.067 0.581 0.952
0.668 0.146 0.699
0.178 0.978 0.874
0.031 0.257 0.471
0.822 0.022 0.126
0.514 0.581 0.452
0.486 0.419 0.548
0.947 0.649 0.793
0.311 0.825 0.065
0.096 0.634 0.638
0.514 0.825 0.565
0.800 0.978 0.374
0.332 0.854 0.301
0.521 0.854 0.801
0.479 0.146 0.199
0.486 0.175 0.435
0.463 0.366 0.862
0.537 0.634 0.138
0.053 0.351 0.207
0.933 0.419 0.048
0.702 0.649 0.293
0.847 0.000 0.250
0.200 0.022 0.626
0.606 0.800 0.088
0.806 0.200 0.412
0.344 0.130 0.696
0.035 0.660 0.028
0.786 0.130 0.196
0.965 0.340 0.972
0.214 0.870 0.804
0.194 0.800 0.588
0.394 0.200 0.912
0.375 0.340 0.472
0.625 0.660 0.528
0.656 0.870 0.304
0.943 0.259 0.594
0.051 0.711 0.200
0.660 0.711 0.700
0.949 0.289 0.800
0.315 0.259 0.094
0.685 0.741 0.906
0.340 0.289 0.300
0.057 0.741 0.406
```

***

# 9
The following is a DFT calculation (PBE-GGA) of crystalline OsPdSN at its relaxed geometry.

Results
The total energy is -27.993 eV for the cell shown.

The structure in POSCAR format:
```
OsPdSN
1.0
3.740 0.000 0.000
0.000 3.412 0.000
0.000 0.000 4.820
Os Pd S N
1 1 1 1
Direct
0.500 0.000 0.860
0.000 0.500 0.221
0.500 0.500 0.543
0.000 0.000 0.903
```

***

# 10
The following is a DFT calculation (PBE-GGA) of crystalline La2CoOs at its relaxed geometry.

Results
For the formation energy, the calculation gives 0.109 eV per atom.

The structure in POSCAR format:
```
La2CoOs
1.0
3.526 0.000 0.000
0.000 3.529 0.063
0.000 3.392 7.248
Co La Os
1 2 1
Direct
0.500 0.750 0.750
0.000 0.000 0.000
0.000 0.500 0.500
0.500 0.250 0.250
```

***

# 11
The following is a DFT calculation (PBE-GGA) of crystalline Re2SiTc at its relaxed geometry.

Results
The total energy is -41.244 eV for the cell shown.

The structure in POSCAR format:
```
Re2SiTc
1.0
5.068 0.075 0.298
4.169 2.883 0.298
1.664 0.533 4.030
Re Si Tc
2 1 1
Direct
0.769 0.769 0.731
0.000 0.000 0.000
0.501 0.501 0.499
0.230 0.230 0.270
```

***

# 12
The following is a DFT calculation (PBE-GGA) of crystalline Sr3TlAu2O6 at its relaxed geometry.

Results
The total energy is -57.816 eV for the cell shown.

The structure in POSCAR format:
```
Sr3TlAu2O6
1.0
-3.287 3.756 -3.399
3.858 -3.842 -2.612
-4.765 -4.521 -0.388
Au O Sr Tl
2 6 3 1
Direct
0.333 0.667 0.092
0.667 0.333 0.908
0.338 0.169 0.699
0.662 0.831 0.301
0.831 0.169 0.699
0.169 0.338 0.301
0.169 0.831 0.301
0.831 0.662 0.699
0.333 0.667 0.600
0.667 0.333 0.400
0.000 0.000 0.000
0.000 0.000 0.500
```

***

# 13
The following is a DFT calculation (PBE-GGA) of crystalline Tm2ZrPd at its relaxed geometry.

Results
For the formation energy, the calculation gives -0.425 eV per atom.

The structure in POSCAR format:
```
Tm2ZrPd
1.0
3.468 0.000 0.000
0.000 3.468 0.000
0.000 0.000 7.801
Pd Zr Tm
1 1 2
Direct
0.500 0.500 0.000
0.500 0.500 0.500
0.000 0.000 0.782
0.000 0.000 0.218
```

***

# 14
The following is a DFT calculation (PBE-GGA) of crystalline Zn2HgIr at its relaxed geometry.

Results
For the formation energy, the calculation gives 0.074 eV per atom.

The structure in POSCAR format:
```
Zn2HgIr
1.0
4.883 -0.002 -0.013
1.607 4.611 0.013
-3.237 -2.315 2.829
Zn Ir Hg
2 1 1
Direct
0.000 0.000 0.000
0.500 0.500 0.000
0.250 0.750 0.500
0.750 0.250 0.500
```

***

# 15
The following is a DFT calculation (PBE-GGA) of crystalline MgCrB2 at its relaxed geometry.

Results
For the formation energy, the calculation gives 0.568 eV per atom.

The structure in POSCAR format:
```
MgCrB2
1.0
-0.643 2.803 -2.287
-3.609 -0.340 0.598
-1.641 5.895 4.735
Mg B Cr
2 4 2
Direct
0.250 0.750 0.500
0.500 0.500 0.000
0.875 0.125 0.750
0.375 0.125 0.750
0.875 0.125 0.250
0.875 0.625 0.250
0.000 0.000 0.000
0.750 0.250 0.500
```

***

# 16
The following is a DFT calculation (PBE-GGA) of crystalline Y2TlCl at its relaxed geometry.

Results
The total energy is -19.937 eV for the cell shown.

The structure in POSCAR format:
```
Y2TlCl
1.0
5.715 -0.002 -0.003
0.759 5.664 0.003
-2.154 -4.069 3.386
Y Cl Tl
2 1 1
Direct
0.534 0.534 0.000
0.966 0.966 0.000
0.750 0.250 0.500
0.250 0.750 0.500
```

***

# 17
The following is a DFT calculation (PBE-GGA) of crystalline RePH at its relaxed geometry.

Results
The total energy is -42.062 eV for the cell shown.

The structure in POSCAR format:
```
RePH
1.0
-0.042 -2.119 -2.275
3.763 -2.003 1.796
-5.136 -1.259 3.393
P Re H
2 2 2
Direct
0.151 0.105 0.302
0.347 0.300 0.693
0.972 0.217 0.944
0.526 0.771 0.051
0.638 0.650 0.276
0.859 0.872 0.719
```

***

# 18
The following is a DFT calculation (PBE-GGA) of crystalline CaPmCl at its relaxed geometry.

Results
The total energy is -22.615 eV for the cell shown.

The structure in POSCAR format:
```
CaPmCl
1.0
-0.931 -2.612 2.452
3.477 0.208 -1.252
3.422 9.131 11.027
Cl Ca Pm
2 2 2
Direct
0.278 0.556 0.865
0.278 0.556 0.135
0.278 0.555 0.500
0.611 0.222 0.000
0.611 0.222 0.711
0.611 0.222 0.289
```

***

# 19
The following is a DFT calculation (PBE-GGA) of crystalline Tc2OsW at its relaxed geometry.

Results
For the formation energy, the calculation gives 0.163 eV per atom.

The structure in POSCAR format:
```
Tc2OsW
1.0
9.255 0.007 0.004
8.842 2.732 0.004
8.842 1.338 2.382
Tc W Os
2 1 1
Direct
0.497 0.497 0.497
0.003 0.003 0.003
0.250 0.250 0.250
0.750 0.750 0.750
```

***

# 20
The following is a DFT calculation (PBE-GGA) of crystalline La8Ge3PI4 at its relaxed geometry.

Results
The total energy is -83.913 eV for the cell shown.

The structure in POSCAR format:
```
La8Ge3PI4
1.0
-3.107 -5.089 -6.514
0.019 -7.369 5.748
-4.455 7.213 2.476
I La Ge P
4 8 3 1
Direct
0.500 0.000 0.000
0.000 0.000 0.500
0.000 0.000 0.000
0.500 0.000 0.500
0.734 0.703 0.469
0.260 0.301 0.031
0.770 0.301 0.540
0.740 0.699 0.969
0.770 0.301 0.031
0.230 0.699 0.460
0.266 0.297 0.531
0.230 0.699 0.969
0.500 0.500 0.500
0.500 0.500 0.000
0.000 0.500 0.500
0.000 0.500 0.000
```

***

# 21
The following is a DFT calculation (PBE-GGA) of crystalline YTaGa2W at its relaxed geometry.

Results
For the formation energy, the calculation gives 2.115 eV per atom.

The structure in POSCAR format:
```
YTaGa2W
1.0
-2.936 4.003 0.128
-2.863 -1.992 -3.367
-2.727 -2.115 3.570
Ga Ta W Y
2 1 1 1
Direct
0.500 0.000 0.000
0.000 0.000 0.500
0.500 0.500 0.500
0.000 0.500 0.000
0.000 0.000 0.000
```

***

# 22
The following is a DFT calculation (PBE-GGA) of crystalline Y6Tl3Co at its relaxed geometry.

Results
For the formation energy, the calculation gives -0.222 eV per atom.

The structure in POSCAR format:
```
Y6Tl3Co
1.0
6.185 0.000 0.137
0.000 8.772 0.000
0.204 0.000 10.540
Co Tl Y
2 6 12
Direct
0.500 0.500 0.500
0.000 0.000 0.000
0.592 0.886 0.737
0.500 0.500 0.000
0.408 0.114 0.263
0.000 0.000 0.500
0.092 0.614 0.237
0.908 0.386 0.763
0.596 0.202 0.565
0.904 0.702 0.935
0.373 0.844 0.058
0.627 0.156 0.942
0.096 0.298 0.065
0.404 0.798 0.435
0.127 0.344 0.442
0.368 0.549 0.725
0.132 0.049 0.775
0.873 0.656 0.558
0.632 0.451 0.275
0.868 0.951 0.225
```

***

# 23
The following is a DFT calculation (PBE-GGA) of crystalline BaSm2AgS4 at its relaxed geometry.

Results
The total energy is -88.568 eV for the cell shown.

The structure in POSCAR format:
```
BaSm2AgS4
1.0
-2.536 3.139 -0.904
-3.325 -3.982 4.957
5.940 7.736 10.200
S Sm Ag Ba
8 4 2 2
Direct
0.268 0.536 0.389
0.000 0.000 0.000
0.452 0.904 0.750
0.548 0.096 0.250
0.732 0.464 0.611
0.732 0.464 0.889
0.268 0.536 0.111
0.000 0.000 0.500
0.374 0.749 0.558
0.626 0.251 0.058
0.374 0.749 0.942
0.626 0.251 0.442
0.850 0.700 0.750
0.150 0.300 0.250
0.877 0.754 0.250
0.123 0.246 0.750
```